SrZn2Sb: single point on PBEsol structure, SCAN.

Cell: 3.834 3.834 6.536 Å, 90.00 90.00 90.00°
Sites, in units of the cell vectors:
Sr 0.000 0.000 0.000
Zn 0.500 0.500 0.302
Zn 0.500 0.500 0.698
Sb 0.000 0.000 0.500


Na4VO4: single point on PBEsol structure, SCAN.

Cell: 5.726 5.734 8.636 Å, 85.26 70.90 68.63°
Sites, in units of the cell vectors:
Na 0.043 0.237 0.432
Na 0.204 0.770 0.181
Na 0.229 0.258 0.012
Na 0.447 0.262 0.605
Na 0.553 0.738 0.395
Na 0.771 0.742 0.988
Na 0.796 0.230 0.819
Na 0.957 0.763 0.568
V 0.401 0.779 0.756
V 0.599 0.221 0.244
O 0.202 0.973 0.639
O 0.218 0.656 0.925
O 0.330 0.472 0.372
O 0.440 0.030 0.198
O 0.560 0.970 0.802
O 0.670 0.528 0.628
O 0.782 0.344 0.075
O 0.798 0.027 0.361


Number 1: energy -87.23 eV/cell, total magnetization 0.00 μB/f.u.. Number 2: energy -156.03 eV/cell, total magnetization 0.99 μB/f.u..